Below is crystalline Pm3Np2PaN6 at its relaxed geometry, with properties calculated at the PBE level.

```
data_Pm3Np2PaN6
_chemical_formula_sum 'Pm6 Np4 Pa2 N12'
_symmetry_space_group_name_H-M 'C 1 2/m 1'
_symmetry_Int_Tables_number 12
_cell_length_a 6.105
_cell_length_b 10.580
_cell_length_c 6.142
_cell_angle_alpha 90.00
_cell_angle_beta 109.31
_cell_angle_gamma 90.00
loop_
_symmetry_equiv_pos_as_xyz
'x,y,z'
'-x,-y,-z'
'-x,y,-z'
'x,-y,z'
'x+1/2,y+1/2,z'
'-x+1/2,-y+1/2,-z'
'-x+1/2,y+1/2,-z'
'x+1/2,-y+1/2,z'
loop_
_atom_site_label
_atom_site_type_symbol
_atom_site_fract_x
_atom_site_fract_y
_atom_site_fract_z
Pm1 Pm 0.000 0.000 0.000
Pm2 Pm 0.000 0.333 0.000
Np1 Np 0.000 0.167 0.500
Pa1 Pa 0.000 0.500 0.500
N1 N 0.240 0.334 0.721
N2 N 0.241 0.000 0.721
```

The uncorrected formation energy comes out at -1.39 eV/atom. Its crystal system is monoclinic.